No. 1
First-principles (PBEsol) data for crystalline CaTcAu2 at its relaxed geometry, as listed in the Alexandria database.

Cell: 4.0905 4.0905 5.2155 Å, 113.09 113.09 90.00°
Site moments in Bohr magnetons follow the coordinates.
Fractional positions:
Ca: 0.5000 0.5000 0.0000  0.03
Au: 0.0000 0.0000 0.0000  0.09
Au: 0.7500 0.2500 0.5000  0.07
Tc: 0.2500 0.7500 0.5000  2.16

Values from the calculation:
- Relative energy among the computed polymorphs: 0 meV per atom
- Space group: I-4m2 (119)
- Density of states at the Fermi level: 0.82 states/eV per atom
- Energy relative to the elements: 0.178 eV per atom


No. 2
First-principles (PBEsol) data for crystalline MoAsPdS2 at its relaxed geometry, as listed in the Alexandria database.

Cell: 4.4611 4.4611 5.0336 Å, 90.00 90.00 90.00°
Fractional positions:
S: 0.0000 0.5000 0.0000
S: 0.5000 0.0000 0.0000
Mo: 0.0000 0.0000 0.0000
As: 0.5000 0.5000 0.5000
Pd: 0.0000 0.0000 0.5000

Values from the calculation:
- E_form (uncorrected): 0.513 eV per atom
- Space group: P4/mmm (123)
- Density of states at the Fermi level: 1.04 states/eV per atom


No. 3
First-principles (PBEsol) data for crystalline CuIr2Cl at its relaxed geometry, as listed in the Alexandria database.

Cell: 2.7026 4.7709 5.1710 Å, 117.47 105.15 90.00°
Fractional positions:
Ir: 0.7587 0.7587 0.5173
Ir: 0.2413 0.2413 0.4827
Cu: 0.0000 0.5000 0.0000
Cl: 0.5000 0.0000 0.0000

Values from the calculation:
- Relative energy among the computed polymorphs: 213 meV per atom
- E_form (uncorrected): 0.650 eV per atom
- Space group: Immm (71)
- Density of states at the Fermi level: 0.98 states/eV per atom


No. 4
First-principles (PBEsol) data for crystalline ScTa2Fe at its relaxed geometry, as listed in the Alexandria database.

Cell: 2.9967 2.9967 8.8693 Å, 80.27 80.27 60.00°
Site moments in Bohr magnetons follow the coordinates.
Fractional positions:
Fe: 0.4952 0.4952 0.5145  0.88
Sc: 0.2403 0.2403 0.2792  -0.05
Ta: 0.0037 0.0037 0.9889  0.00
Ta: 0.7609 0.7609 0.7174  -0.10

Values from the calculation:
- Relative energy among the computed polymorphs: 5 meV per atom
- Space group: R3m (160)
- Density of states at the Fermi level: 1.33 states/eV per atom
- Energy relative to the elements: 0.236 eV per atom


No. 5
First-principles (PBEsol) data for crystalline BaSrN3 at its relaxed geometry, as listed in the Alexandria database.

Cell: 4.5915 4.5915 4.5915 Å, 90.00 90.00 90.00°
Site moments in Bohr magnetons follow the coordinates.
Fractional positions:
Sr: 0.5000 0.5000 0.5000  -0.01
Ba: 0.0000 0.0000 0.0000  0.00
N: 0.0000 0.5000 0.0000  0.44
N: 0.0000 0.0000 0.5000  0.44
N: 0.5000 0.0000 0.0000  0.44

Values from the calculation:
- E_form (uncorrected): 1.169 eV per atom
- Space group: Pm-3m (221)
- Density of states at the Fermi level: 0.99 states/eV per atom


No. 6
First-principles (PBEsol) data for crystalline K3Se2O8 at its relaxed geometry, as listed in the Alexandria database.

Cell: 5.9630 7.9769 10.0504 Å, 103.23 90.00 111.95°
Site moments in Bohr magnetons follow the coordinates.
Fractional positions:
K: 0.2369 0.0000 0.2500  0.00
K: 0.7631 0.0000 0.7500  0.00
K: 0.0945 0.6188 0.8480  0.00
K: 0.5244 0.6188 0.3480  0.00
K: 0.9055 0.3812 0.1520  0.00
K: 0.4756 0.3812 0.6520  0.00
Se: 0.6791 0.7754 0.0338  -0.02
Se: 0.0963 0.7754 0.5338  -0.02
Se: 0.3209 0.2246 0.9662  -0.02
Se: 0.9037 0.2246 0.4662  -0.02
O: 0.8516 0.6794 0.0886  0.02
O: 0.8277 0.6794 0.5886  0.02
O: 0.1484 0.3206 0.9114  0.02
O: 0.1723 0.3206 0.4114  0.02
O: 0.8459 0.0106 0.0657  0.37
O: 0.1648 0.0106 0.5657  0.37
O: 0.1541 0.9894 0.9343  0.37
O: 0.8352 0.9894 0.4343  0.37
O: 0.5998 0.6945 0.8666  0.02
O: 0.0947 0.6945 0.3666  0.02
O: 0.4002 0.3055 0.1334  0.02
O: 0.9053 0.3055 0.6334  0.02
O: 0.4401 0.7574 0.1221  0.09
O: 0.3172 0.7574 0.6221  0.09
O: 0.5599 0.2426 0.8779  0.09
O: 0.6828 0.2426 0.3779  0.09

Values from the calculation:
- Relative energy among the computed polymorphs: 0 meV per atom
- E_form (uncorrected): -1.167 eV per atom
- Space group: C2/c (15)


No. 7
First-principles (PBEsol) data for crystalline BeTcP2 at its relaxed geometry, as listed in the Alexandria database.

Cell: 4.0682 4.0682 4.0682 Å, 60.00 60.00 60.00°
Fractional positions:
P: 0.0000 0.0000 0.0000
P: 0.2500 0.2500 0.2500
Tc: 0.7500 0.7500 0.7500
Be: 0.5000 0.5000 0.5000

Values from the calculation:
- Space group: F-43m (216)
- Density of states at the Fermi level: 0.67 states/eV per atom
- Energy relative to the elements: 0.333 eV per atom


No. 8
First-principles (PBEsol) data for crystalline AlTlO2 at its relaxed geometry, as listed in the Alexandria database.

Cell: 5.6576 5.6576 5.6576 Å, 60.00 60.00 60.00°
Fractional positions:
Tl: 0.5000 0.5000 0.5000
Tl: 0.7500 0.7500 0.7500
Al: 0.2500 0.2500 0.2500
Al: 0.0000 0.0000 0.0000
O: 0.1250 0.1250 0.1250
O: 0.1250 0.6250 0.1250
O: 0.6250 0.1250 0.1250
O: 0.1250 0.1250 0.6250

Values from the calculation:
- Relative energy among the computed polymorphs: 56 meV per atom
- E_form (uncorrected): -2.042 eV per atom
- Space group: Fd-3m (227)
- Density of states at the Fermi level: 0.00 states/eV per atom